1.
Computed, not measured: a geometry-optimized Sr2CdSbO6 structure at the GGA-PBE level of DFT.

Summary:
Fermi-level density of states   16.219 states/eV per cell
Energy   -114.28 eV/cell
Raw formation energy   -1.899 eV per atom
Magnetization   1.10 μB per formula unit

Cell lengths 5.8752, 6.0054, 10.1121 Å; angles 90.00, 125.06, 90.00 degrees
With the nearest neighbours (Å) after each atom.
Space group P2_1/c (No. 14)
Asymmetric unit:
Sr1 0.2349 0.0483 0.2478  6 O 2.51-2.79
Cd1 0.0000 0.0000 0.5000  6 O 2.30-2.34
Sb1 0.5000 0.0000 0.0000  6 O 2.01-2.02
O1 0.1799 0.1900 0.9555  1 Sb 2.02
O2 0.2592 0.7288 0.9450  1 Sb 2.01
O3 0.3624 0.0357 0.7676  1 Sb 2.01

---

2.
Computed, not measured: a geometry-optimized Pr2Ir3Rh structure at the GGA-PBE level of DFT.

Summary:
Fermi-level density of states   15.496 states/eV per cell
Formation energy   -0.656 eV/atom
Energy   -142.29 eV/cell
Magnetization   0.00 μB per formula unit

Cell lengths 5.4430, 5.4430, 13.4286 Å; angles 90.00, 90.00, 120.00 degrees
With the nearest neighbours (Å) after each atom.
Space group R-3m (No. 166, hexagonal axes)
Asymmetric unit:
Pr1 0.0000 0.0000 0.1243  9 Ir 3.19-3.22, 3 Rh 3.19, 4 Pr 3.34
Ir1 0.0000 0.5000 0.0000  4 Ir 2.72, 2 Rh 2.73
Rh1 0.0000 0.0000 0.5000  6 Ir 2.73

---

3.
Computed, not measured: a geometry-optimized PuBeCo2H8 structure at the GGA-PBE level of DFT.

Summary:
Fermi-level density of states   8.895 states/eV per cell
Energy   -60.13 eV/cell
Magnetization   6.07 μB per formula unit

Cell lengths 4.1186, 4.1186, 5.6479 Å; angles 90.00, 90.00, 120.00 degrees
With the nearest neighbours (Å) after each atom.
Space group P-3 (No. 147)
Asymmetric unit:
Pu1 0.0000 0.0000 0.0000  12 H 2.40-2.45
Be1 0.0000 0.0000 0.5000  6 H 1.64
Co1 0.3333 0.6667 0.6060  4 H 1.59-1.64
H1 0.0611 0.6968 0.3457  1 Co 1.59, 1 Be 1.64
H2 0.3333 0.6667 0.8955  1 Co 1.64

---

4.
Computed, not measured: a geometry-optimized Tb5Pm8Sc structure at the GGA-PBE level of DFT.

Summary:
Fermi-level density of states   42.023 states/eV per cell
Formation energy   0.260 eV/atom
Energy   -127.69 eV/cell
Magnetization   0.00 μB per formula unit

Cell lengths 9.6607, 9.6607, 10.1575 Å; angles 90.00, 90.00, 90.00 degrees
With the nearest neighbours (Å) after each atom.
Space group I-4 (No. 82)
Asymmetric unit:
Tb1 0.0000 0.0000 0.0000  8 Pm 3.18-3.37
Tb2 0.1043 0.7941 0.5762  8 Pm 3.37-3.62, 2 Tb 3.51
Pm1 0.0676 0.6720 0.9079  5 Tb 3.37-3.62, 4 Pm 3.57-3.74
Pm2 0.0850 0.8141 0.2456  1 Sc 3.14, 3 Tb 3.18-3.44
Sc1 0.0000 0.5000 0.2500  4 Pm 3.14

---

energy of number 4 (Tb5Pm8Sc)?
-127.69 eV/cell